Computed, not measured: a relaxed GdNpCo4 crystal at the PBE level of DFT.

abc: 7.1007 7.1007 7.1007
angles: 90.00 90.00 90.00
With the nearest neighbours (Å) after each atom.
Space group F-43m (No. 216)
One atom of each set of equivalent atoms:
1 Gd 0.0000 0.0000 0.0000 (multiplicity 4)  12 Co 2.95, 4 Np 3.07
2 Np 0.2500 0.2500 0.7500 (multiplicity 4)  12 Co 2.94, 4 Gd 3.07
3 Co 0.1242 0.1242 0.3758 (multiplicity 16)  6 Co 2.49-2.53

Summary:
DOS(E_F) ... 1.3412 states/eV/atom
M_tot ... 27.53 Bohr magnetons per cell
Mass density ... 11.7 g cm⁻³
E_form ... -0.09 eV per atom
Uncorrected energy ... -223.90 eV for the cell shown